# 1
PBE-GGA CuIrSe2, relaxed; SG = R3m; ΔE_f (raw) = 3 kJ/mol of atoms; V = 19.70 Å³/atom
1.0
-0.295 -6.374 -3.089
2.844 -6.383 -1.194
-0.330 -7.063 0.512
Cu Ir Se
1 1 2
Cartesian
1.109 -9.905 -1.885
1.672 -14.929 -2.840
0.065 -0.582 -0.111
0.483 -4.315 -0.821

# 2
PBE-GGA Nb6VCr, relaxed; SG = I4/mmm; E = -9.862 eV per atom; V = 16.87 Å³/atom
1.0
-4.038 -0.970 -1.873
2.103 -1.546 -3.734
-0.740 -7.217 -0.208
Nb V Cr
6 1 1
Cartesian
-1.821 -5.505 -4.305
-2.813 -6.295 -1.757
0.258 -6.583 -2.688
0.138 -3.437 -4.058
-0.854 -4.228 -1.510
-2.933 -3.150 -3.127
-0.968 -1.258 -2.803
0.000 0.000 0.000

# 3
PBE-GGA Be2SbP, relaxed; SG = Cm; ΔE_f (raw) = 11 kJ/mol of atoms; V = 16.45 Å³/atom
1.0
3.936 -0.002 0.000
2.515 3.028 0.000
1.498 0.703 5.519
Sb Be P
1 2 1
Cartesian
1.720 0.807 0.934
1.386 0.650 5.085
6.112 2.867 4.156
4.203 1.972 3.623

# 4
PBE-GGA MgPtRh2, relaxed; SG = Pmmm; E = -5.817 eV per atom; V = 15.08 Å³/atom
1.0
-0.808 2.571 -0.791
-3.720 -1.031 0.450
0.174 1.673 5.263
Mg Pt Rh
1 1 2
Cartesian
-2.221 1.188 1.146
-2.134 2.025 3.777
0.173 1.672 5.258
0.087 0.838 2.637

# 5
PBE-GGA RbTiReO6, relaxed; SG = P3; ΔE_f (raw) = -206 kJ/mol of atoms; V = 16.68 Å³/atom
1.0
-3.508 -0.575 3.849
-4.282 -2.919 -0.773
3.102 -5.098 2.065
Rb Ti Re O
1 1 1 6
Cartesian
-0.448 -5.604 5.886
-3.512 -5.093 3.170
-1.139 -3.560 1.996
-0.679 -2.798 0.406
0.628 -3.715 2.912
-1.667 -4.938 3.342
-0.473 -5.159 1.002
-2.935 -3.647 1.698
-1.144 -2.033 2.991

# 6
PBE-GGA Hf2PtC, relaxed; SG = R-3m; E = -9.647 eV per atom; V = 15.89 Å³/atom
1.0
-0.246 -2.521 -2.052
1.905 -2.616 0.396
-4.222 -4.571 3.533
C Hf Pt
1 2 1
Cartesian
-1.281 -4.854 0.939
-0.926 -2.598 0.713
-1.637 -7.111 1.164
0.000 0.000 0.000

# 7
PBE-GGA SrSc2Ir, relaxed; SG = R3m; E = -6.166 eV per atom; V = 28.40 Å³/atom
1.0
4.270 -0.035 -0.008
2.169 3.678 -0.008
2.160 1.222 7.194
Ir Sc Sr
1 2 1
Cartesian
2.145 1.214 0.015
6.439 3.643 0.996
6.449 3.649 6.184
4.303 2.435 3.557

# 8
PBE-GGA KLiH2, relaxed; SG = Pna2_1; E = -2.695 eV per atom; V = 15.27 Å³/atom
1.0
5.330 0.000 0.000
0.000 5.548 0.000
0.000 0.000 8.259
K Li H
4 4 8
Cartesian
5.323 5.097 3.080
2.658 0.452 5.179
2.658 3.226 7.210
5.323 2.323 1.049
0.016 0.124 7.210
2.681 5.425 1.050
2.681 2.650 3.080
0.016 2.898 5.179
0.436 1.853 6.654
3.101 3.695 1.605
3.101 0.921 2.525
0.436 4.628 5.735
3.551 0.349 7.711
0.886 5.200 0.548
0.886 2.426 3.582
3.551 3.123 4.678

# 9
PBE-GGA RbBiS2Br, relaxed; SG = P4/mmm; ΔE_f (raw) = 38 kJ/mol of atoms; V = 32.95 Å³/atom
1.0
-3.033 2.001 -4.049
3.082 -2.799 -3.692
-3.364 -4.255 0.417
S Br Bi Rb
2 1 1 1
Cartesian
-1.682 -2.128 0.209
-1.517 1.000 -2.025
0.000 0.000 0.000
1.541 -1.400 -1.846
-1.657 -2.527 -3.662

# 10
PBE-GGA LiTb2Ho6, relaxed; SG = P4_2/mnm; E = -4.215 eV per atom; V = 30.36 Å³/atom
1.0
4.983 0.000 0.213
0.000 10.467 0.000
-0.447 0.000 10.458
Li Tb Ho
2 4 12
Cartesian
2.491 5.234 0.106
-0.223 0.000 5.229
-0.372 3.490 8.717
2.194 8.724 7.076
2.342 1.744 3.594
4.908 6.977 1.954
-0.074 10.458 1.723
4.760 6.959 5.431
4.612 7.008 8.897
2.192 1.774 7.109
2.491 1.725 0.117
2.342 5.224 3.612
4.610 0.009 8.947
-0.224 3.509 5.240
-0.076 3.460 1.773
2.344 8.693 3.562
2.045 8.742 10.553
2.194 5.243 7.059

# 11
PBE-GGA SrIrOs, relaxed; SG = Imm2; E = -6.988 eV per atom; V = 20.98 Å³/atom
1.0
6.053 -0.001 -0.002
4.070 4.480 0.002
-4.742 -2.963 2.319
Ir Os Sr
1 1 1
Cartesian
9.648 4.269 0.000
3.860 1.708 0.000
6.738 2.981 0.000

# 12
PBE-GGA Ce3SiC, relaxed; SG = Pnma; ΔE_f (raw) = -37 kJ/mol of atoms; V = 21.23 Å³/atom
1.0
3.746 0.000 0.000
0.000 8.126 0.000
0.000 0.000 13.949
Ce Si C
12 4 4
Cartesian
2.809 1.572 3.978
0.936 5.206 0.021
0.936 0.225 1.519
0.936 4.288 5.455
0.936 1.143 6.953
2.809 3.839 8.493
0.936 2.492 10.952
2.809 7.902 12.430
2.809 2.920 13.928
2.809 5.635 2.997
2.809 6.983 6.996
0.936 6.555 9.971
0.936 7.379 4.580
2.809 0.748 9.369
2.809 4.811 11.554
0.936 3.315 2.395
0.936 5.377 7.753
2.809 2.749 6.196
2.809 6.812 0.779
0.936 1.314 13.170

# 13
PBE-GGA AgSbRh2, relaxed; SG = Imm2; ΔE_f (raw) = 4 kJ/mol of atoms; V = 17.08 Å³/atom
1.0
-1.549 2.264 4.872
1.549 -2.264 4.872
1.549 2.264 -4.872
Ag Sb Rh
1 1 2
Cartesian
0.000 2.264 2.335
0.000 0.000 4.692
0.000 0.000 0.108
1.549 0.000 2.610

# 14
PBE-GGA BaLiHf2, relaxed; SG = I-42d; E = -5.128 eV per atom; V = 27.02 Å³/atom
1.0
4.266 0.000 0.000
0.000 4.266 0.000
2.133 2.133 11.876
Hf Ba Li
4 2 2
Cartesian
1.122 1.067 2.969
3.144 3.200 2.969
3.200 5.277 8.907
5.333 3.255 8.907
0.000 0.000 0.000
4.266 2.133 5.938
2.133 2.133 0.000
2.133 4.266 5.938

# 15
PBE-GGA ZrSc2Ta, relaxed; SG = P4/mmm; E = -8.114 eV per atom; V = 21.74 Å³/atom
1.0
-0.097 -3.784 -2.186
3.090 1.487 -2.711
3.217 -1.671 2.750
Sc Ta Zr
2 1 1
Cartesian
0.000 0.000 0.000
1.497 -1.149 -2.449
1.560 -2.728 0.282
3.153 -0.092 0.019

# 16
PBE-GGA SrCeIn2, relaxed; SG = P4/mmm; E = -3.629 eV per atom; V = 30.18 Å³/atom
1.0
3.586 0.000 0.000
0.000 3.586 0.000
0.000 0.000 9.389
Sr Ce In
1 1 2
Cartesian
1.793 1.793 4.695
1.793 1.793 0.000
0.000 0.000 7.144
0.000 0.000 2.245

# 17
PBE-GGA YTiHg2, relaxed; SG = I-42d; E = -3.656 eV per atom; V = 24.76 Å³/atom
1.0
-1.243 -2.739 -7.250
-2.926 -6.633 3.008
-5.024 -3.384 -2.109
Y Hg Ti
2 4 2
Cartesian
0.000 0.000 0.000
-4.176 -5.404 -5.740
-2.356 -3.294 -4.436
-3.283 -5.427 0.199
-5.431 -6.278 -3.070
-7.317 -10.512 -5.396
-2.085 -4.686 -2.121
-5.018 -7.351 -0.611

# 18
PBE-GGA RbNaWSe4, relaxed; SG = P2_1/m; ΔE_f (raw) = -74 kJ/mol of atoms; V = 33.15 Å³/atom
1.0
-0.271 5.737 3.891
-4.471 3.144 -4.946
-7.091 -5.779 2.735
Rb Na W Se
2 2 2 8
Cartesian
-10.127 1.193 1.672
-1.705 1.909 0.008
-6.764 4.157 0.516
-5.068 -1.055 1.164
-5.648 1.699 -2.055
-6.184 1.403 3.734
-7.423 -2.560 -0.455
-2.209 4.115 4.568
-4.409 5.662 2.135
-9.623 -1.013 -2.889
-4.572 3.760 -1.716
-7.259 -0.658 3.396
-7.447 1.404 -0.617
-4.385 1.698 2.296